# Ba2Np3RhO12 (GGA-PBE, relaxed)
# formation energy from raw total energies: -4398 kJ/mol of formula units
# volume: 17.768 Å³/atom
# raw total energy: -0.63332 Ry per atom
data_Ba2Np3RhO12
_chemical_formula_sum 'Ba6 Np9 Rh3 O36'
_cell_length_a 7.9249
_cell_length_b 7.9249
_cell_length_c 17.6401
_cell_angle_alpha 90.00
_cell_angle_beta 90.00
_cell_angle_gamma 120.00
_symmetry_space_group_name_H-M 'R -3 m'
_symmetry_Int_Tables_number 166
_symmetry_space_group_name_Hall '-R 3 2"'
loop_
_atom_site_label
_atom_site_fract_x
_atom_site_fract_y
_atom_site_fract_z
Ba1 0.0000 0.0000 0.1687
Np1 0.0000 0.5000 0.0000
Rh1 0.0000 0.0000 0.5000
O1 0.0808 0.5404 0.1078
O2 0.0872 0.5436 0.3716

# NaInSn (GGA-PBE, relaxed)
# energy of formation from the pure elements: -0.32 eV/f.u.
# volume: 26.781 Å³/atom
# raw total energy: -0.20532 Ry per atom
data_NaInSn
_chemical_formula_sum 'Na2 In2 Sn2'
_cell_length_a 3.2096
_cell_length_b 5.2319
_cell_length_c 9.5689
_cell_angle_alpha 90.00
_cell_angle_beta 90.02
_cell_angle_gamma 90.00
_symmetry_space_group_name_H-M 'P 1 2/m 1'
_symmetry_Int_Tables_number 10
loop_
_symmetry_equiv_pos_as_xyz
'x,y,z'
'-x,-y,-z'
'-x,y,-z'
'x,-y,z'
loop_
_atom_site_label
_atom_site_fract_x
_atom_site_fract_y
_atom_site_fract_z
Na1 0.0009 0.0000 0.3258
In1 0.5005 0.5000 0.1734
Sn1 0.5000 0.0000 0.0000
Sn2 0.5000 0.5000 0.5000

# Tb3Pm2Pr6In (GGA-PBE, relaxed)
# energy of formation from the pure elements: -0.55 eV/f.u.
# volume: 33.418 Å³/atom
# raw total energy: -0.33909 Ry per atom
data_Tb3Pm2Pr6In
_chemical_formula_sum 'Tb6 Pm4 Pr12 In2'
_cell_length_a 6.2575
_cell_length_b 10.8716
_cell_length_c 11.9771
_cell_angle_alpha 90.00
_cell_angle_beta 100.15
_cell_angle_gamma 90.00
_symmetry_space_group_name_H-M 'C 1 2/m 1'
_symmetry_Int_Tables_number 12
loop_
_symmetry_equiv_pos_as_xyz
'x,y,z'
'-x,-y,-z'
'-x,y,-z'
'x,-y,z'
'x+1/2,y+1/2,z'
'-x+1/2,-y+1/2,-z'
'-x+1/2,y+1/2,-z'
'x+1/2,-y+1/2,z'
loop_
_atom_site_label
_atom_site_fract_x
_atom_site_fract_y
_atom_site_fract_z
Tb1 0.0000 0.0000 0.0000
Tb2 0.0000 0.3323 0.0000
Pm1 0.0000 0.1663 0.5000
Pr1 0.2422 0.5000 0.2494
Pr2 0.2458 0.3371 0.7494
In1 0.0000 0.5000 0.5000

# CrCd2SeI (GGA-PBE, relaxed)
# formation energy from raw total energies: 268 kJ/mol of formula units
# volume: 31.260 Å³/atom
# raw total energy: -0.20157 Ry per atom
data_CrCd2SeI
_chemical_formula_sum 'Cr1 Cd2 Se1 I1'
_cell_length_a 5.5342
_cell_length_b 5.5342
_cell_length_c 5.1033
_cell_angle_alpha 90.00
_cell_angle_beta 90.00
_cell_angle_gamma 90.00
_symmetry_space_group_name_H-M 'P 4/m m m'
_symmetry_Int_Tables_number 123
_symmetry_space_group_name_Hall '-P 4 2'
loop_
_atom_site_label
_atom_site_fract_x
_atom_site_fract_y
_atom_site_fract_z
Cr1 0.0000 0.0000 0.0000
Cd1 0.0000 0.5000 0.0000
Se1 0.5000 0.5000 0.5000
I1 0.0000 0.0000 0.5000

Repeat the second record exactly.
# NaInSn (GGA-PBE, relaxed)
# energy of formation from the pure elements: -0.32 eV/f.u.
# volume: 26.781 Å³/atom
# raw total energy: -0.20532 Ry per atom
data_NaInSn
_chemical_formula_sum 'Na2 In2 Sn2'
_cell_length_a 3.2096
_cell_length_b 5.2319
_cell_length_c 9.5689
_cell_angle_alpha 90.00
_cell_angle_beta 90.02
_cell_angle_gamma 90.00
_symmetry_space_group_name_H-M 'P 1 2/m 1'
_symmetry_Int_Tables_number 10
loop_
_symmetry_equiv_pos_as_xyz
'x,y,z'
'-x,-y,-z'
'-x,y,-z'
'x,-y,z'
loop_
_atom_site_label
_atom_site_fract_x
_atom_site_fract_y
_atom_site_fract_z
Na1 0.0009 0.0000 0.3258
In1 0.5005 0.5000 0.1734
Sn1 0.5000 0.0000 0.0000
Sn2 0.5000 0.5000 0.5000